(1)
Density functional theory data (PBE) for a relaxed Ga2CoI crystal.

abc: 5.1549 5.1549 5.1549
angles: 60.00 60.00 60.00
Closest atoms and distances in Å follow each position.
Sites, in units of the cell vectors:
Ga: 0.2500 0.2500 0.2500  4 Co 3.16, 4 I 3.16
Ga: 0.7500 0.7500 0.7500  4 I 3.16, 4 Co 3.16
Co: 0.0000 0.0000 0.0000  8 Ga 3.16
I: 0.5000 0.5000 0.5000  8 Ga 3.16

Properties
- total magnetic moment (μB/f.u.) = 1.918
- space-group type = Fm-3m (225)
- DOS at the Fermi energy (states/eV/f.u.) = 3.2
- energy relative to the elements, uncorrected (kJ/mol of formula units) = 291
- energy relative to the lowest polymorph listed for this composition (eV/atom) = 0.466

---

(2)
Density functional theory data (PBE) for a relaxed BeP2W crystal.

abc: 6.4853 6.4853 6.4853
angles: 28.45 28.45 28.45
Closest atoms and distances in Å follow each position.
Sites, in units of the cell vectors:
Be: 0.0000 0.0000 0.0000  6 P 2.33
P: 0.2568 0.2568 0.2568  3 Be 2.33, 3 W 2.49
P: 0.7432 0.7432 0.7432  3 Be 2.33, 3 W 2.49
W: 0.5000 0.5000 0.5000  6 P 2.49

Properties
- total magnetic moment (μB/f.u.) = 0.000
- space-group type = R-3m (166)
- DOS at the Fermi energy (states/eV/f.u.) = 0.7
- E_form (eV per atom) = -0.021

---

(3)
Density functional theory data (PBE) for a relaxed AlFe5C crystal.

abc: 3.4828 3.4828 6.3188
angles: 90.00 90.00 90.00
Closest atoms and distances in Å follow each position.
Sites, in units of the cell vectors:
Al: 0.0000 0.0000 0.0000  12 Fe 2.46-2.61
Fe: 0.0000 0.5000 0.3083  2 C 2.12
Fe: 0.0000 0.5000 0.6917  2 C 2.12
Fe: 0.5000 0.0000 0.3083  2 C 2.12
Fe: 0.5000 0.0000 0.6917  2 C 2.12
Fe: 0.5000 0.5000 0.0000  4 Al 2.46, 8 Fe 2.61
C: 0.5000 0.5000 0.5000  8 Fe 2.12

Properties
- total magnetic moment (μB/f.u.) = 10.567
- space-group type = P4/mmm (123)
- DOS at the Fermi energy (states/eV/f.u.) = 5.8
- E_form (eV per atom) = 0.063

---

(4)
Density functional theory data (PBE) for a relaxed YC crystal.

abc: 3.4066 3.4066 4.8767
angles: 90.00 90.00 90.00
Closest atoms and distances in Å follow each position.
Sites, in units of the cell vectors:
Y: 0.0000 0.0000 0.0000  4 C 2.41
C: 0.5000 0.5000 0.0000  4 Y 2.41

Properties
- total magnetic moment (μB/f.u.) = 0.648
- space-group type = P4/mmm (123)
- DOS at the Fermi energy (states/eV/f.u.) = 1.2
- energy relative to the lowest polymorph listed for this composition (eV/atom) = 1.129
- E_form (eV per atom) = 0.914

---

(5)
Density functional theory data (PBE) for a relaxed Re2HgMo crystal.

abc: 2.7537 2.7537 9.4937
angles: 90.00 90.00 111.44
Closest atoms and distances in Å follow each position.
Sites, in units of the cell vectors:
Re: 0.0000 0.0000 0.2274  2 Mo 2.66, 4 Re 2.75
Re: 0.0000 0.0000 0.7726  2 Mo 2.66, 4 Re 2.75
Hg: 0.5000 0.5000 0.5000  4 Hg 2.75, 4 Re 3.02
Mo: 0.5000 0.5000 0.0000  4 Re 2.66, 4 Mo 2.75

Properties
- total magnetic moment (μB/f.u.) = 0.000
- space-group type = Cmmm (65)
- DOS at the Fermi energy (states/eV/f.u.) = 2.6
- E_form (eV per atom) = 0.496

---

(6)
Density functional theory data (PBE) for a relaxed BaCd2NiGe crystal.

abc: 5.1236 5.1236 4.7167
angles: 90.00 90.00 90.00
Closest atoms and distances in Å follow each position.
Sites, in units of the cell vectors:
Ba: 0.0000 0.0000 0.0000  8 Cd 3.48, 4 Ge 3.62
Cd: 0.0000 0.5000 0.5000  2 Ni 2.56
Cd: 0.5000 0.0000 0.5000  2 Ni 2.56
Ni: 0.5000 0.5000 0.5000  2 Ge 2.36, 4 Cd 2.56
Ge: 0.5000 0.5000 0.0000  2 Ni 2.36

Properties
- total magnetic moment (μB/f.u.) = 0.000
- space-group type = P4/mmm (123)
- DOS at the Fermi energy (states/eV/f.u.) = 3.6
- E_form (eV per atom) = -0.219

---

(7)
Density functional theory data (PBE) for a relaxed ScNi2W crystal.

abc: 2.7714 2.7714 7.4742
angles: 90.00 90.00 90.00
Closest atoms and distances in Å follow each position.
Sites, in units of the cell vectors:
Sc: 0.0000 0.0000 0.0000  8 Ni 2.77, 4 Sc 2.77
Ni: 0.5000 0.5000 0.2620  4 W 2.65, 4 Sc 2.77, 4 Ni 2.77
Ni: 0.5000 0.5000 0.7380  4 W 2.65, 4 Sc 2.77, 4 Ni 2.77
W: 0.0000 0.0000 0.5000  8 Ni 2.65, 4 W 2.77

Properties
- total magnetic moment (μB/f.u.) = 0.000
- space-group type = P4/mmm (123)
- DOS at the Fermi energy (states/eV/f.u.) = 3.9
- energy relative to the lowest polymorph listed for this composition (eV/atom) = 0.031
- E_form (eV per atom) = -0.088

---

(8)
Density functional theory data (PBE) for a relaxed HfAgSnH2 crystal.

abc: 3.9277 3.9277 5.8416
angles: 90.00 90.00 90.00
Closest atoms and distances in Å follow each position.
Sites, in units of the cell vectors:
Hf: 0.0000 0.0000 0.0000  4 Ag 2.78
Ag: 0.5000 0.5000 0.0000  4 Hf 2.78, 2 Sn 2.92
Sn: 0.5000 0.5000 0.5000  4 H 1.96
H: 0.0000 0.5000 0.5000  2 Sn 1.96
H: 0.5000 0.0000 0.5000  2 Sn 1.96

Properties
- total magnetic moment (μB/f.u.) = 0.422
- space-group type = P4/mmm (123)
- DOS at the Fermi energy (states/eV/f.u.) = 5.3
- energy relative to the lowest polymorph listed for this composition (eV/atom) = 0.143